Entry 1:
Computed, not measured: a geometry-optimized TmAlGaNi structure at the GGA-PBE level of DFT.

Output
**Fermi-level density of states**: 10.429 states/eV per cell
**Density**: 8051 kg/m³
**Formation energy**: -0.43 eV per atom

Unit cell a=6.444 b=6.444 c=6.444 alpha=90.00 beta=90.00 gamma=90.00
Space group F-43m (No. 216)
Asymmetric unit:
Tm 0.000 0.000 0.000 (multiplicity 4)
Al 0.000 0.000 0.500 (multiplicity 4)
Ga 0.250 0.250 0.750 (multiplicity 4)
Ni 0.250 0.250 0.250 (multiplicity 4)

***

Entry 2:
Computed, not measured: a geometry-optimized Na6Tl2Sn structure at the GGA-PBE level of DFT.

Output
**Fermi-level density of states**: 4.955 states/eV per cell
**Density**: 4213 kg/m³
**Formation energy**: -0.11 eV per atom

Unit cell a=9.5185 b=9.5185 c=3.3424 alpha=90.00 beta=90.00 gamma=120.00
Space group P-62m (No. 189)
Asymmetric unit:
Na 0.0000 0.3564 0.0000 (multiplicity 3)
Na 0.0000 0.7019 0.5000 (multiplicity 3)
Tl 0.3333 0.6667 0.5000 (multiplicity 2)
Sn 0.0000 0.0000 0.0000 (multiplicity 1)